Computed, not measured: an optimized crystal structure of Cs2PbF at the PBE level of DFT.

a b c (Å): 6.377 6.377 6.377
angles (deg): 60.00 60.00 60.00
Positions (direct):
1 Cs 0.250 0.250 0.250
2 Cs 0.750 0.750 0.750
3 Pb 0.000 0.000 0.000
4 F 0.500 0.500 0.500

Calculated values
As for the density of states at the Fermi level: 0.000 states/eV/atom. As for the polymorph energy (0 for the lowest one): 317.5 meV per atom. The value obtained for the total energy is -2.59 eV/atom. Its uncorrected formation energy is -295 kJ/mol of formula units.